# 1
DyTm2Lu (PBE, optimized geometry); excess energy over the best structure of this formula in the dataset = 8 meV per atom; ΔH_f (0 K) = 36 meV per atom; total moment = 0.006 μB/atom; E = -4.481 eV/atom; N(E_F) = 1.461 states/eV/atom
1.0
-0.1061 4.4399 -2.1519
-4.4834 0.8079 1.8878
2.0507 1.9956 4.0162
Lu Tm Dy
1 2 1
Direct
0.5000 0.0000 0.0000 Lu
0.0000 0.0000 0.5000 Tm
0.0000 0.5000 0.0000 Tm
0.5000 0.5000 0.5000 Dy


# 2
MnCr6Rh10 (PBE, optimized geometry); ΔH_f (0 K) = 88 meV per atom; total moment = 0.792 μB/atom; E = -8.172 eV/atom; N(E_F) = 1.257 states/eV/atom
1.0
-3.7489 3.1893 1.7778
-2.2497 -5.1734 4.5369
5.0413 4.7395 2.1284
Mn Cr Rh
1 6 10
Direct
0.5000 0.0000 0.0000 Mn
0.7092 0.3772 0.3772 Cr
0.7092 0.0000 0.6228 Cr
0.7092 0.6228 0.0000 Cr
0.2908 0.6228 0.6228 Cr
0.2908 0.0000 0.3772 Cr
0.2908 0.3772 0.0000 Cr
0.8111 0.7187 0.7187 Rh
0.8111 0.0000 0.2813 Rh
0.8111 0.2813 0.0000 Rh
0.1889 0.2813 0.2813 Rh
0.1889 0.0000 0.7187 Rh
0.1889 0.7187 0.0000 Rh
0.5000 0.3333 0.6667 Rh
0.5000 0.6667 0.3333 Rh
0.0000 0.6667 0.3333 Rh
0.0000 0.3333 0.6667 Rh


# 3
Ac8Ir4S (PBE, optimized geometry); energy relative to the elements, uncorrected = -9.65 eV per formula unit; total moment = 0.000 μB/atom; E = -6.315 eV/atom; N(E_F) = 0.574 states/eV/atom
1.0
4.2883 0.0000 0.9271
1.9192 10.8768 1.5039
-0.1337 0.1855 10.9993
Ac Ir S
8 4 1
Direct
0.1323 0.4032 0.3322 Ac
0.5378 0.2632 0.6612 Ac
0.4604 0.7237 0.3556 Ac
0.8576 0.5916 0.6932 Ac
0.8309 0.3393 0.9989 Ac
0.2132 0.9127 0.6609 Ac
0.1643 0.6553 0.0161 Ac
0.7817 0.0702 0.3664 Ac
0.3527 0.4540 0.8406 Ir
0.8432 0.8168 0.4968 Ir
0.1574 0.1719 0.5132 Ir
0.6453 0.5260 0.1833 Ir
0.6683 0.8046 0.8589 S


# 4
Zr2CuW (PBE, optimized geometry); excess energy over the best structure of this formula in the dataset = 147 meV per atom; ΔH_f (0 K) = 137 meV per atom; total moment = 0.000 μB/atom; E = -8.400 eV/atom; N(E_F) = 0.943 states/eV/atom
1.0
-1.6396 0.3158 2.3452
-1.8866 -1.8967 -1.0636
4.3445 -6.5168 3.9151
Cu W Zr
1 1 2
Direct
0.5000 0.5000 0.2500 Cu
0.5000 0.5000 0.7500 W
0.0000 0.0000 0.0179 Zr
0.0000 0.0000 0.4821 Zr


# 5
CaTlRh2 (PBE, optimized geometry); ΔH_f (0 K) = 28 meV per atom; total moment = 0.000 μB/atom; E = -4.740 eV/atom; N(E_F) = 1.592 states/eV/atom
1.0
4.7653 0.0000 0.0000
2.3827 4.1269 0.0000
2.3827 1.3756 3.8909
Tl Rh Ca
1 2 1
Direct
0.7500 0.7500 0.7500 Tl
0.0000 0.0000 0.0000 Rh
0.2500 0.2500 0.2500 Rh
0.5000 0.5000 0.5000 Ca


# 6
ScCoSe2 (PBE, optimized geometry); energy relative to the elements, uncorrected = -3.04 eV per formula unit; excess energy over the best structure of this formula in the dataset = 98 meV per atom; total moment = 0.265 μB/atom; E = -5.862 eV/atom; N(E_F) = 0.608 states/eV/atom
1.0
-3.9186 -1.8817 -5.7925
-0.2601 -1.7111 -7.0323
-1.5222 -4.8494 -5.1590
Co Sc Se
1 1 2
Direct
0.5257 0.5257 0.5257 Co
0.7582 0.7582 0.7582 Sc
0.0227 0.0227 0.0227 Se
0.1934 0.1934 0.1934 Se


# 7
Si3Sb (PBE, optimized geometry); energy relative to the elements, uncorrected = 1.35 eV per formula unit; excess energy over the best structure of this formula in the dataset = 0 meV per atom; total moment = 0.000 μB/atom; E = -4.760 eV/atom; N(E_F) = 0.460 states/eV/atom
1.0
-0.6562 1.9526 -3.1932
-2.0148 -1.6465 -2.7694
-6.0477 2.3191 0.3090
Sb Si
1 3
Direct
0.0000 0.0000 0.0000 Sb
0.5000 0.5000 0.5000 Si
0.7623 0.7623 0.7086 Si
0.2377 0.2377 0.2914 Si


# 8
Ba2AlBr (PBE, optimized geometry); energy relative to the elements, uncorrected = -2.97 eV per formula unit; excess energy over the best structure of this formula in the dataset = 111 meV per atom; total moment = 0.000 μB/atom; E = -3.058 eV/atom; N(E_F) = 0.783 states/eV/atom
1.0
6.9305 -0.0057 -0.0102
5.7479 3.8722 -0.0102
0.0026 0.0008 5.7147
Ba Br Al
2 1 1
Direct
0.9948 0.9948 0.1251 Ba
0.7485 0.7485 0.6249 Ba
0.4977 0.4977 0.6250 Br
0.2589 0.2589 0.1249 Al